## Ba3Ir (GGA-PBE)

Data for a relaxed structure of Ba3Ir.

a = 8.360 Å, b = 8.360 Å, c = 8.360 Å
α = 152.22°, β = 138.83°, γ = 50.39°
Positions (direct):
Ir: 0.500 0.000 0.500
Ba: 0.344 0.344 0.000
Ba: 0.656 0.656 0.000
Ba: 0.000 0.500 0.500

As for the total energy: -14.54 eV for the cell shown. As for the symmetry: Immm. The formation energy is 0.021 eV/atom. The volume comes out at 44.61 Å³/atom. For the density of states at the Fermi level, the calculation gives 4.62 states/eV/f.u. The calculation puts the size of the total moment at 0.0 μB/f.u. Its crystal system is orthorhombic.

## BaIr (GGA-PBE)

Data for a relaxed structure of BaIr.

a = 5.112 Å, b = 5.112 Å, c = 5.112 Å
α = 43.22°, β = 43.22°, γ = 43.22°
Positions (direct):
Ir: 0.500 0.500 0.500
Ba: 0.000 0.000 0.000

As for the total energy: -9.35 eV for the cell shown. As for the symmetry: R-3m. The formation energy is 0.716 eV/atom. The volume comes out at 28.40 Å³/atom. For the density of states at the Fermi level, the calculation gives 2.30 states/eV/f.u. The calculation puts the size of the total moment at 0.0 μB/f.u. Its crystal system is trigonal.

## BaIr (GGA-PBE)

Data for a relaxed structure of BaIr.

a = 8.927 Å, b = 8.927 Å, c = 8.927 Å
α = 90.00°, β = 90.00°, γ = 90.00°
Last column: magnetic moment on the atom in μB.
Positions (direct):
Ir: 0.894 0.894 0.894  0.28
Ir: 0.394 0.394 0.394  0.28
Ir: 0.606 0.394 0.606  0.28
Ir: 0.394 0.606 0.606  0.28
Ir: 0.894 0.106 0.106  0.28
Ir: 0.106 0.894 0.106  0.28
Ir: 0.606 0.606 0.394  0.28
Ir: 0.106 0.106 0.894  0.28
Ba: 0.287 0.713 0.287  0.04
Ba: 0.213 0.787 0.787  0.04
Ba: 0.713 0.713 0.713  0.04
Ba: 0.787 0.787 0.213  0.04
Ba: 0.787 0.213 0.787  0.04
Ba: 0.713 0.287 0.287  0.04
Ba: 0.213 0.213 0.213  0.04
Ba: 0.287 0.287 0.713  0.04

As for the total energy: -76.78 eV for the cell shown. As for the symmetry: I-43m. The formation energy is 0.593 eV/atom. The volume comes out at 44.47 Å³/atom. For the density of states at the Fermi level, the calculation gives 2.99 states/eV/f.u. The calculation puts the size of the total moment at 0.4 μB/f.u. Its crystal system is cubic.

## BaIr3 (GGA-PBE)

Data for a relaxed structure of BaIr3.

a = 4.550 Å, b = 2.955 Å, c = 6.395 Å
α = 78.56°, β = 90.00°, γ = 90.00°
Positions (direct):
Ir: 0.000 0.500 0.500
Ir: 0.500 0.684 0.668
Ir: 0.500 0.316 0.332
Ba: 0.000 0.000 0.000

As for the total energy: -26.17 eV for the cell shown. As for the symmetry: P2/m. The formation energy is 0.584 eV/atom. The volume comes out at 21.07 Å³/atom. For the density of states at the Fermi level, the calculation gives 5.38 states/eV/f.u. The calculation puts the size of the total moment at 0.0 μB/f.u. Its crystal system is monoclinic.

## BaIr (GGA-PBE)

Data for a relaxed structure of BaIr.

a = 8.125 Å, b = 8.125 Å, c = 8.125 Å
α = 147.60°, β = 146.84°, γ = 47.04°
Positions (direct):
Ba: 0.618 0.368 0.750
Ba: 0.382 0.632 0.250
Ir: 0.973 0.223 0.250
Ir: 0.027 0.777 0.750

As for the total energy: -21.89 eV for the cell shown. As for the symmetry: Imma. The formation energy is -0.080 eV/atom. The volume comes out at 39.16 Å³/atom. For the density of states at the Fermi level, the calculation gives 1.08 states/eV/f.u. The calculation puts the size of the total moment at 0.0 μB/f.u. Its crystal system is orthorhombic.

## BaIr5 (GGA-PBE)

Data for a relaxed structure of BaIr5.

a = 9.386 Å, b = 9.386 Å, c = 4.299 Å
α = 90.00°, β = 90.00°, γ = 162.44°
Positions (direct):
Ir: 0.683 0.317 0.000
Ir: 0.775 0.225 0.500
Ir: 0.149 0.851 0.500
Ir: 0.319 0.681 0.000
Ir: 0.396 0.604 0.500
Ba: 0.010 0.990 0.000

As for the total energy: -43.97 eV for the cell shown. As for the symmetry: Amm2. The formation energy is 0.376 eV/atom. The volume comes out at 19.04 Å³/atom. For the density of states at the Fermi level, the calculation gives 8.55 states/eV/f.u. The calculation puts the size of the total moment at 0.0 μB/f.u. Its crystal system is orthorhombic.

## BaIr4 (GGA-PBE)

Data for a relaxed structure of BaIr4.

a = 4.990 Å, b = 4.990 Å, c = 4.990 Å
α = 90.00°, β = 90.00°, γ = 90.00°
Last column: magnetic moment on the atom in μB.
Positions (direct):
Ir: 0.000 0.000 0.000  1.38
Ir: 0.500 0.500 0.000  0.56
Ir: 0.000 0.500 0.500  0.56
Ir: 0.500 0.000 0.500  0.56
Ba: 0.500 0.500 0.500  -0.04

As for the total energy: -20.45 eV for the cell shown. As for the symmetry: Pm-3m. The formation energy is 3.384 eV/atom. The volume comes out at 24.85 Å³/atom. As for the distance to the lowest polymorph of the same formula: 3.034 eV/atom. For the density of states at the Fermi level, the calculation gives 7.73 states/eV/f.u. The calculation puts the size of the total moment at 3.0 μB/f.u. Its crystal system is cubic.

## BaIr (GGA-PBE)

Data for a relaxed structure of BaIr.

a = 3.715 Å, b = 3.715 Å, c = 4.694 Å
α = 90.00°, β = 90.00°, γ = 120.00°
Positions (direct):
Ir: 0.333 0.667 0.500
Ba: 0.000 0.000 0.000

As for the total energy: -9.30 eV for the cell shown. As for the symmetry: P-6m2. The formation energy is 0.744 eV/atom. The volume comes out at 28.05 Å³/atom. For the density of states at the Fermi level, the calculation gives 1.20 states/eV/f.u. The calculation puts the size of the total moment at 0.0 μB/f.u. Its crystal system is hexagonal.

## Ba2Ir3 (GGA-PBE)

Data for a relaxed structure of Ba2Ir3.

a = 4.126 Å, b = 4.126 Å, c = 10.051 Å
α = 90.00°, β = 90.00°, γ = 120.00°
Last column: magnetic moment on the atom in μB.
Positions (direct):
Ba: 0.333 0.667 0.801  -0.01
Ba: 0.667 0.333 0.199  -0.01
Ir: 0.333 0.667 0.473  0.16
Ir: 0.000 0.000 0.000  0.51
Ir: 0.667 0.333 0.527  0.16

As for the total energy: -28.57 eV for the cell shown. As for the symmetry: P-3m1. The formation energy is 0.371 eV/atom. The volume comes out at 29.64 Å³/atom. For the density of states at the Fermi level, the calculation gives 7.03 states/eV/f.u. The calculation puts the size of the total moment at 0.8 μB/f.u. Its crystal system is trigonal.

## BaIr (GGA-PBE)

Data for a relaxed structure of BaIr.

a = 6.690 Å, b = 6.690 Å, c = 6.247 Å
α = 90.00°, β = 90.00°, γ = 90.00°
Last column: magnetic moment on the atom in μB.
Positions (direct):
Ba: 0.304 0.304 0.500  0.01
Ba: 0.696 0.696 0.500  0.01
Ba: 0.196 0.804 0.000  0.01
Ba: 0.804 0.196 0.000  0.01
Ir: 0.629 0.629 0.000  0.86
Ir: 0.371 0.371 0.000  0.86
Ir: 0.871 0.129 0.500  0.86
Ir: 0.129 0.871 0.500  0.86

As for the total energy: -39.66 eV for the cell shown. As for the symmetry: P4_2/mnm. The formation energy is 0.435 eV/atom. The volume comes out at 34.96 Å³/atom. For the density of states at the Fermi level, the calculation gives 2.13 states/eV/f.u. The calculation puts the size of the total moment at 1.1 μB/f.u. Its crystal system is tetragonal.

## Ba3Ir (GGA-PBE)

Data for a relaxed structure of Ba3Ir.

a = 6.205 Å, b = 6.205 Å, c = 6.205 Å
α = 90.00°, β = 90.00°, γ = 90.00°
Positions (direct):
Ba: 0.000 0.000 0.500
Ba: 0.500 0.000 0.000
Ba: 0.000 0.500 0.000
Ir: 0.000 0.000 0.000

As for the total energy: -14.47 eV for the cell shown. As for the symmetry: Pm-3m. The formation energy is 0.040 eV/atom. The volume comes out at 59.72 Å³/atom. For the density of states at the Fermi level, the calculation gives 5.18 states/eV/f.u. The calculation puts the size of the total moment at 0.0 μB/f.u. Its crystal system is cubic.

## BaIr (GGA-PBE)

Data for a relaxed structure of BaIr.

a = 6.071 Å, b = 8.452 Å, c = 9.934 Å
α = 90.00°, β = 90.00°, γ = 90.00°
Positions (direct):
Ir: 0.101 0.198 0.233
Ir: 0.582 0.027 0.840
Ir: 0.601 0.302 0.767
Ir: 0.399 0.802 0.733
Ir: 0.918 0.973 0.340
Ir: 0.418 0.527 0.660
Ir: 0.082 0.473 0.160
Ir: 0.899 0.698 0.267
Ba: 0.101 0.308 0.867
Ba: 0.417 0.106 0.516
Ba: 0.917 0.394 0.484
Ba: 0.583 0.606 0.984
Ba: 0.399 0.692 0.367
Ba: 0.083 0.894 0.016
Ba: 0.601 0.192 0.133
Ba: 0.899 0.808 0.633

As for the total energy: -87.80 eV for the cell shown. As for the symmetry: P2_12_12_1. The formation energy is -0.096 eV/atom. The volume comes out at 31.86 Å³/atom. For the density of states at the Fermi level, the calculation gives 0.89 states/eV/f.u. The calculation puts the size of the total moment at 0.0 μB/f.u. Its crystal system is orthorhombic.

## BaIr (GGA-PBE)

Data for a relaxed structure of BaIr.

a = 8.739 Å, b = 8.739 Å, c = 8.739 Å
α = 90.00°, β = 90.00°, γ = 90.00°
Last column: magnetic moment on the atom in μB.
Positions (direct):
Ir: 0.500 0.000 0.250  1.00
Ir: 0.250 0.500 0.000  1.00
Ir: 0.000 0.250 0.500  1.00
Ir: 0.750 0.500 0.000  1.00
Ir: 0.000 0.750 0.500  1.00
Ir: 0.500 0.000 0.750  1.00
Ba: 0.750 0.000 0.500  -0.02
Ba: 0.500 0.250 0.000  -0.02
Ba: 0.250 0.000 0.500  -0.02
Ba: 0.000 0.500 0.750  -0.02
Ba: 0.000 0.500 0.250  -0.02
Ba: 0.500 0.750 0.000  -0.02

As for the total energy: -51.06 eV for the cell shown. As for the symmetry: Pm-3n. The formation energy is 1.137 eV/atom. The volume comes out at 55.61 Å³/atom. For the density of states at the Fermi level, the calculation gives 3.84 states/eV/f.u. The calculation puts the size of the total moment at 1.0 μB/f.u. Its crystal system is cubic.